Record 1
A geometry-optimized Tm4SiBiSe2 structure. Source: the Alexandria database, functional GGA-PBE.

a = 7.149 Å, b = 4.147 Å, c = 7.269 Å
α = 90.00°, β = 109.47°, γ = 90.00°
Atoms (fractional coordinates):
Tm (0.240, 0.000, 0.231)
Tm (0.251, 0.500, 0.771)
Tm (0.749, 0.500, 0.229)
Tm (0.760, 0.000, 0.769)
Si (0.000, 0.500, 0.000)
Bi (0.000, 0.000, 0.500)
Se (0.500, 0.000, 0.000)
Se (0.500, 0.500, 0.500)

- E_tot (eV per atom) = -5.50
- symmetry = No. 10
- formation energy without anion corrections (eV/atom) = -1.23



Record 2
A geometry-optimized Tm6Si2BiSe3 structure. Source: the Alexandria database, functional GGA-PBE.

a = 9.208 Å, b = 9.208 Å, c = 8.288 Å
α = 102.41°, β = 102.41°, γ = 25.85°
Atoms (fractional coordinates):
Tm (0.008, 0.008, 0.266)
Tm (0.327, 0.327, 0.894)
Tm (0.328, 0.328, 0.425)
Tm (0.672, 0.672, 0.575)
Tm (0.673, 0.673, 0.106)
Tm (0.992, 0.992, 0.734)
Si (0.168, 0.168, 0.337)
Si (0.832, 0.832, 0.663)
Bi (0.500, 0.500, 0.000)
Se (0.164, 0.164, 0.834)
Se (0.500, 0.500, 0.500)
Se (0.836, 0.836, 0.166)

- E_tot (eV per atom) = -5.58
- symmetry = No. 12
- formation energy without anion corrections (eV/atom) = -1.25



Record 3
A geometry-optimized YSiBiSe2 structure. Source: the Alexandria database, functional GGA-PBE.

a = 5.469 Å, b = 5.469 Å, c = 5.910 Å
α = 90.00°, β = 90.00°, γ = 90.00°
Atoms (fractional coordinates):
Y (0.000, 0.000, 0.000)
Si (0.500, 0.500, 0.000)
Bi (0.000, 0.000, 0.500)
Se (0.000, 0.500, 0.500)
Se (0.500, 0.000, 0.500)

- E_tot (eV per atom) = -3.85
- symmetry = No. 123
- formation energy without anion corrections (eV/atom) = 0.70



Record 4
A geometry-optimized Y6Si2BiSe3 structure. Source: the Alexandria database, functional GGA-PBE.

a = 9.345 Å, b = 9.345 Å, c = 8.416 Å
α = 102.53°, β = 102.53°, γ = 25.82°
Atoms (fractional coordinates):
Y (0.007, 0.007, 0.266)
Y (0.327, 0.327, 0.896)
Y (0.329, 0.329, 0.424)
Y (0.671, 0.671, 0.576)
Y (0.673, 0.673, 0.104)
Y (0.993, 0.993, 0.734)
Si (0.168, 0.168, 0.336)
Si (0.832, 0.832, 0.664)
Bi (0.500, 0.500, 0.000)
Se (0.164, 0.164, 0.834)
Se (0.500, 0.500, 0.500)
Se (0.836, 0.836, 0.166)

- E_tot (eV per atom) = -6.66
- symmetry = No. 12
- formation energy without anion corrections (eV/atom) = -1.33



Record 5
A geometry-optimized Sm3Bi5Se12 structure. Source: the Alexandria database, functional GGA-PBE.

a = 14.934 Å, b = 14.934 Å, c = 14.934 Å
α = 109.47°, β = 109.47°, γ = 109.47°
Atoms (fractional coordinates):
Sm (0.125, 0.250, 0.375)
Sm (0.125, 0.375, 0.750)
Sm (0.250, 0.375, 0.125)
Sm (0.250, 0.875, 0.625)
Sm (0.375, 0.125, 0.250)
Sm (0.375, 0.750, 0.125)
Sm (0.625, 0.250, 0.875)
Sm (0.625, 0.875, 0.750)
Sm (0.750, 0.125, 0.375)
Sm (0.750, 0.625, 0.875)
Sm (0.875, 0.625, 0.250)
Sm (0.875, 0.750, 0.625)
Bi (0.000, 0.000, 0.000)
Bi (0.000, 0.000, 0.500)
Bi (0.000, 0.500, 0.000)
Bi (0.000, 0.500, 0.500)
Bi (0.125, 0.750, 0.875)
Bi (0.125, 0.875, 0.250)
Bi (0.250, 0.125, 0.875)
Bi (0.250, 0.625, 0.375)
Bi (0.375, 0.250, 0.625)
Bi (0.375, 0.625, 0.750)
Bi (0.500, 0.000, 0.000)
Bi (0.500, 0.000, 0.500)
Bi (0.500, 0.500, 0.000)
Bi (0.500, 0.500, 0.500)
Bi (0.625, 0.375, 0.250)
Bi (0.625, 0.750, 0.375)
Bi (0.750, 0.375, 0.625)
Bi (0.750, 0.875, 0.125)
Bi (0.875, 0.125, 0.750)
Bi (0.875, 0.250, 0.125)
Se (0.056, 0.225, 0.140)
Se (0.056, 0.331, 0.916)
Se (0.084, 0.640, 0.415)
Se (0.084, 0.944, 0.669)
Se (0.085, 0.725, 0.669)
Se (0.085, 0.860, 0.416)
Se (0.140, 0.056, 0.225)
Se (0.140, 0.584, 0.915)
Se (0.169, 0.225, 0.585)
Se (0.169, 0.444, 0.584)
Se (0.225, 0.140, 0.056)
Se (0.225, 0.585, 0.169)
Se (0.275, 0.331, 0.915)
Se (0.275, 0.444, 0.360)
Se (0.331, 0.915, 0.275)
Se (0.331, 0.916, 0.056)
Se (0.360, 0.275, 0.444)
Se (0.360, 0.585, 0.916)
Se (0.415, 0.084, 0.640)
Se (0.415, 0.831, 0.775)
Se (0.416, 0.085, 0.860)
Se (0.416, 0.831, 0.556)
Se (0.444, 0.360, 0.275)
Se (0.444, 0.584, 0.169)
Se (0.556, 0.416, 0.831)
Se (0.556, 0.640, 0.725)
Se (0.584, 0.169, 0.444)
Se (0.584, 0.915, 0.140)
Se (0.585, 0.169, 0.225)
Se (0.585, 0.916, 0.360)
Se (0.640, 0.415, 0.084)
Se (0.640, 0.725, 0.556)
Se (0.669, 0.084, 0.944)
Se (0.669, 0.085, 0.725)
Se (0.725, 0.556, 0.640)
Se (0.725, 0.669, 0.085)
Se (0.775, 0.415, 0.831)
Se (0.775, 0.860, 0.944)
Se (0.831, 0.556, 0.416)
Se (0.831, 0.775, 0.415)
Se (0.860, 0.416, 0.085)
Se (0.860, 0.944, 0.775)
Se (0.915, 0.140, 0.584)
Se (0.915, 0.275, 0.331)
Se (0.916, 0.056, 0.331)
Se (0.916, 0.360, 0.585)
Se (0.944, 0.669, 0.084)
Se (0.944, 0.775, 0.860)

- E_tot (eV per atom) = -4.56
- symmetry = No. 230
- formation energy without anion corrections (eV/atom) = -0.79



Record 6
A geometry-optimized SmBiSe2 structure. Source: the Alexandria database, functional GGA-PBE.

a = 4.102 Å, b = 4.102 Å, c = 27.410 Å
α = 90.00°, β = 90.00°, γ = 120.00°
Atoms (fractional coordinates):
Sm (0.000, 0.000, 0.000)
Sm (0.333, 0.667, 0.667)
Sm (0.667, 0.333, 0.333)
Bi (0.000, 0.000, 0.500)
Bi (0.333, 0.667, 0.167)
Bi (0.667, 0.333, 0.833)
Se (0.000, 0.000, 0.394)
Se (0.000, 0.000, 0.606)
Se (0.333, 0.667, 0.061)
Se (0.333, 0.667, 0.272)
Se (0.667, 0.333, 0.728)
Se (0.667, 0.333, 0.939)

- E_tot (eV per atom) = -4.96
- symmetry = No. 166
- formation energy without anion corrections (eV/atom) = -1.07



Record 7
A geometry-optimized SmBiSe structure. Source: the Alexandria database, functional GGA-PBE.

a = 7.323 Å, b = 7.110 Å, c = 8.849 Å
α = 90.00°, β = 107.12°, γ = 90.00°
Atoms (fractional coordinates):
Sm (0.189, 0.000, 0.344)
Sm (0.311, 0.500, 0.656)
Sm (0.689, 0.500, 0.344)
Sm (0.811, 0.000, 0.656)
Bi (0.198, 0.000, 0.973)
Bi (0.302, 0.500, 0.027)
Bi (0.698, 0.500, 0.973)
Bi (0.802, 0.000, 0.027)
Se (0.000, 0.254, 0.500)
Se (0.000, 0.746, 0.500)
Se (0.500, 0.246, 0.500)
Se (0.500, 0.754, 0.500)

- E_tot (eV per atom) = -5.13
- symmetry = No. 12
- formation energy without anion corrections (eV/atom) = -1.10



Record 8
A geometry-optimized SmBiSe structure. Source: the Alexandria database, functional GGA-PBE.

a = 4.310 Å, b = 4.310 Å, c = 18.367 Å
α = 90.00°, β = 90.00°, γ = 90.00°
Atoms (fractional coordinates):
Sm (0.000, 0.000, 0.154)
Sm (0.000, 0.000, 0.846)
Sm (0.500, 0.500, 0.346)
Sm (0.500, 0.500, 0.654)
Bi (0.000, 0.500, 0.000)
Bi (0.000, 0.500, 0.500)
Bi (0.500, 0.000, 0.000)
Bi (0.500, 0.000, 0.500)
Se (0.000, 0.000, 0.314)
Se (0.000, 0.000, 0.686)
Se (0.500, 0.500, 0.186)
Se (0.500, 0.500, 0.814)

- E_tot (eV per atom) = -5.26
- symmetry = No. 139
- formation energy without anion corrections (eV/atom) = -1.23



Ordered calculated volume results: 25.40 24.91 35.36 26.01 32.05 33.28 36.69 28.43; unit A^3/atom.